Version a
Below is a relaxed HfMg3Ga crystal, with properties calculated at the PBE level.

abc: 5.6589 5.6589 5.6589
angles: 90.00 90.00 90.00
Positions (direct):
Ga: 0.5000 0.5000 0.5000
Mg: 0.5000 0.0000 0.0000
Mg: 0.0000 0.0000 0.5000
Mg: 0.0000 0.5000 0.0000
Hf: 0.0000 0.0000 0.0000

Values from the calculation:
DOS at the Fermi energy	7.43	states/eV/cell
magnetic moment	2.31	Bohr magnetons per cell

---

Version b
Below is a relaxed HfMg3Ga crystal, with properties calculated at the PBE level.

abc: 4.9314 4.9314 4.9314
angles: 90.00 90.00 90.00
Positions (direct):
Ga: 0.0000 0.0000 0.0000
Mg: 0.5000 0.0000 0.0000
Mg: 0.0000 0.5000 0.0000
Hf: 0.5000 0.5000 0.5000
Mg: 0.0000 0.0000 0.5000

Values from the calculation:
DOS at the Fermi energy	3.76	states/eV/cell
magnetic moment	0.00	Bohr magnetons per cell

---

version b wins, 63.1 kJ/mol of atoms ahead of the next structure.

---

Version a
Below is a relaxed HfMgGa4 crystal, with properties calculated at the PBE level.

abc: 5.2558 5.6719 8.2341
angles: 90.00 117.47 90.00
Positions (direct):
Ga: 0.0450 0.2500 0.6756
Ga: 0.9262 0.2500 0.9421
Mg: 0.5000 0.5000 0.0000
Ga: 0.5330 0.0142 0.3519
Mg: 0.5000 0.0000 0.0000
Hf: 0.0168 0.2500 0.3245
Ga: 0.9550 0.7500 0.3244
Hf: 0.9832 0.7500 0.6755
Ga: 0.4670 0.5142 0.6481
Ga: 0.0738 0.7500 0.0579
Ga: 0.5330 0.4858 0.3519
Ga: 0.4670 0.9858 0.6481

Values from the calculation:
DOS at the Fermi energy	3.33	states/eV/cell
magnetic moment	0.00	Bohr magnetons per cell

---

Version b
Below is a relaxed HfMgGa4 crystal, with properties calculated at the PBE level.

abc: 5.3166 5.3166 5.3166
angles: 60.00 60.00 60.00
Positions (direct):
Ga: 0.6247 0.1258 0.6247
Ga: 0.6247 0.6247 0.6247
Mg: 0.0000 0.0000 0.0000
Hf: 0.2500 0.2500 0.2500
Ga: 0.1258 0.6247 0.6247
Ga: 0.6247 0.6247 0.1258

Values from the calculation:
DOS at the Fermi energy	4.44	states/eV/cell
magnetic moment	0.00	Bohr magnetons per cell

---

version a wins, 7.5 kJ/mol of atoms ahead of the next structure.

---

Version a
Below is a relaxed Hf2MnGa2 crystal, with properties calculated at the PBE level.

abc: 6.6738 6.6738 3.9485
angles: 90.00 90.00 90.00
Positions (direct):
Mn: 0.5000 0.5000 0.0000
Ga: 0.1341 0.3659 0.0000
Ga: 0.8659 0.6341 0.0000
Ga: 0.6341 0.1341 0.0000
Hf: 0.1722 0.6722 0.5000
Mn: 0.0000 0.0000 0.0000
Hf: 0.3278 0.1722 0.5000
Hf: 0.6722 0.8278 0.5000
Ga: 0.3659 0.8659 0.0000
Hf: 0.8278 0.3278 0.5000

Values from the calculation:
DOS at the Fermi energy	10.54	states/eV/cell
magnetic moment	4.62	Bohr magnetons per cell

---

Version b
Below is a relaxed Hf2MnGa2 crystal, with properties calculated at the PBE level.

abc: 5.4442 5.7321 6.9336
angles: 114.42 113.12 90.00
Positions (direct):
Hf: 0.8322 0.5409 0.6644
Ga: 0.4187 0.7462 0.8373
Ga: 0.5813 0.2538 0.1627
Hf: 0.6678 0.8765 0.3356
Mn: 0.2500 0.5000 0.0000
Ga: 0.0813 0.9088 0.1627
Hf: 0.1678 0.4591 0.3356
Ga: 0.9187 0.0912 0.8373
Hf: 0.3322 0.1235 0.6644
Mn: 0.7500 0.5000 0.0000

Values from the calculation:
DOS at the Fermi energy	7.81	states/eV/cell
magnetic moment	2.17	Bohr magnetons per cell

---

version a wins, 14.5 kJ/mol of atoms ahead of the next structure.

---

Version a
Below is a relaxed HfScMnGa2 crystal, with properties calculated at the PBE level.

abc: 5.0655 4.9208 5.0655
angles: 90.00 90.00 90.00
Positions (direct):
Ga: 0.0000 0.0000 0.5000
Ga: 0.5000 0.0000 0.0000
Hf: 0.0000 0.5000 0.0000
Mn: 0.5000 0.5000 0.5000
Sc: 0.0000 0.0000 0.0000

Values from the calculation:
DOS at the Fermi energy	6.66	states/eV/cell
magnetic moment	4.22	Bohr magnetons per cell

---

Version b
Below is a relaxed HfScMnGa2 crystal, with properties calculated at the PBE level.

abc: 5.0963 4.5852 5.0963
angles: 90.00 90.00 90.00
Positions (direct):
Mn: 0.0000 0.5000 0.0000
Ga: 0.0000 0.0000 0.5000
Hf: 0.0000 0.0000 0.0000
Ga: 0.5000 0.0000 0.0000
Sc: 0.5000 0.5000 0.5000

Values from the calculation:
DOS at the Fermi energy	3.99	states/eV/cell
magnetic moment	2.74	Bohr magnetons per cell

---

version b wins, 46.3 kJ/mol of atoms ahead of the next structure.

---

Version a
Below is a relaxed HfZr2MnGa crystal, with properties calculated at the PBE level.

abc: 5.2108 4.5542 5.2108
angles: 90.00 90.00 90.00
Positions (direct):
Zr: 0.0000 0.0000 0.5000
Ga: 0.5000 0.5000 0.5000
Zr: 0.5000 0.0000 0.0000
Hf: 0.0000 0.0000 0.0000
Mn: 0.0000 0.5000 0.0000

Values from the calculation:
DOS at the Fermi energy	5.10	states/eV/cell
magnetic moment	2.39	Bohr magnetons per cell

---

Version b
Below is a relaxed HfZr2MnGa crystal, with properties calculated at the PBE level.

abc: 5.0254 4.3311 5.0254
angles: 90.00 90.00 90.00
Positions (direct):
Ga: 0.0000 0.0000 0.0000
Zr: 0.0000 0.0000 0.5000
Hf: 0.5000 0.5000 0.5000
Mn: 0.0000 0.5000 0.0000
Zr: 0.5000 0.0000 0.0000

Values from the calculation:
DOS at the Fermi energy	9.43	states/eV/cell
magnetic moment	0.00	Bohr magnetons per cell

---

version b wins, 39.5 kJ/mol of atoms ahead of the next structure.

---

Version a
Below is a relaxed HfGa2Mo2 crystal, with properties calculated at the PBE level.

abc: 7.6338 7.6338 2.9363
angles: 90.00 90.00 90.00
Positions (direct):
Ga: 0.6800 0.8200 0.5000
Mo: 0.8847 0.6153 0.0000
Hf: 0.0000 0.0000 0.0000
Ga: 0.3200 0.1800 0.5000
Mo: 0.3847 0.8847 0.0000
Mo: 0.1153 0.3847 0.0000
Ga: 0.1800 0.6800 0.5000
Mo: 0.6153 0.1153 0.0000
Ga: 0.8200 0.3200 0.5000
Hf: 0.5000 0.5000 0.0000

Values from the calculation:
DOS at the Fermi energy	10.65	states/eV/cell
magnetic moment	0.00	Bohr magnetons per cell

---

Version b
Below is a relaxed HfGa2Mo2 crystal, with properties calculated at the PBE level.

abc: 4.1925 4.1925 6.0870
angles: 69.86 69.86 90.00
Positions (direct):
Hf: 0.0000 0.0000 0.0000
Mo: 0.6047 0.6047 0.7906
Mo: 0.3953 0.3953 0.2094
Ga: 0.7500 0.2500 0.5000
Ga: 0.2500 0.7500 0.5000

Values from the calculation:
DOS at the Fermi energy	4.93	states/eV/cell
magnetic moment	0.00	Bohr magnetons per cell

---

Version c
Below is a relaxed HfGa2Mo2 crystal, with properties calculated at the PBE level.

abc: 6.9305 6.9305 3.4265
angles: 90.00 90.00 90.00
Positions (direct):
Hf: 0.0000 0.0000 0.0000
Hf: 0.5000 0.5000 0.0000
Ga: 0.1256 0.3744 0.0000
Ga: 0.6256 0.1256 0.0000
Mo: 0.1736 0.6736 0.5000
Ga: 0.8744 0.6256 0.0000
Ga: 0.3744 0.8744 0.0000
Mo: 0.8264 0.3264 0.5000
Mo: 0.6736 0.8264 0.5000
Mo: 0.3264 0.1736 0.5000

Values from the calculation:
DOS at the Fermi energy	3.66	states/eV/cell
magnetic moment	0.00	Bohr magnetons per cell

---

version c wins, 28.3 kJ/mol of atoms ahead of the next structure.